This record from Alexandria via LeMat-Bulk describes a relaxed structure of Na3In3Ag2. The functional is GGA-PBE.

a = 4.7699 Å, b = 4.8588 Å, c = 8.9379 Å
α = 105.53°, β = 105.23°, γ = 90.31°
Sites, in units of the cell vectors:
Na1 0.0000 0.0000 0.0000
Na2 0.3623 0.8630 0.7272
Na3 0.6377 0.1370 0.2728
In1 0.1446 0.6439 0.2923
In2 0.5000 0.5000 0.0000
In3 0.8554 0.3561 0.7077
Ag1 0.2493 0.2451 0.4938
Ag2 0.7507 0.7549 0.5062

Results
Electronic total energy in eV for the cell shown: -18.5
Crystal system: triclinic
ΔH_f (0 K) in meV/atom: -80
Polymorph energy (0 for the lowest one) in meV/atom: 0
SG: P-1 (2)

This record from Alexandria via LeMat-Bulk describes a relaxed structure of NaIn2Ag5. The functional is GGA-PBE.

a = 7.5485 Å, b = 7.5485 Å, c = 7.5485 Å
α = 156.71°, β = 104.10°, γ = 80.67°
Sites, in units of the cell vectors:
Na1 0.0000 0.0000 0.0000
In1 0.2470 0.7470 0.5000
In2 0.7530 0.2530 0.5000
Ag1 0.1434 0.3731 0.7702
Ag2 0.3971 0.6269 0.7702
Ag3 0.5000 0.0000 0.5000
Ag4 0.6029 0.3731 0.2298
Ag5 0.8566 0.6269 0.2298

Results
Electronic total energy in eV for the cell shown: -21.1
Crystal system: orthorhombic
ΔH_f (0 K) in meV/atom: -12
Polymorph energy (0 for the lowest one) in meV/atom: 0
SG: Immm (71)

This record from Alexandria via LeMat-Bulk describes a relaxed structure of Na12In3Ag. The functional is GGA-PBE.

a = 4.9356 Å, b = 4.9356 Å, c = 19.4754 Å
α = 90.00°, β = 90.00°, γ = 90.00°
Sites, in units of the cell vectors:
Na1 0.0000 0.0000 0.0000
Na2 0.0000 0.0000 0.2444
Na3 0.0000 0.0000 0.5000
Na4 0.0000 0.0000 0.7556
Na5 0.0000 0.5000 0.1164
Na6 0.0000 0.5000 0.3731
Na7 0.0000 0.5000 0.6269
Na8 0.0000 0.5000 0.8836
Na9 0.5000 0.0000 0.1164
Na10 0.5000 0.0000 0.3731
Na11 0.5000 0.0000 0.6269
Na12 0.5000 0.0000 0.8836
In1 0.5000 0.5000 0.2471
In2 0.5000 0.5000 0.5000
In3 0.5000 0.5000 0.7529
Ag1 0.5000 0.5000 0.0000

Results
Electronic total energy in eV for the cell shown: -27.3
Crystal system: tetragonal
ΔH_f (0 K) in meV/atom: -23
SG: P4/mmm (123)

This record from Alexandria via LeMat-Bulk describes a relaxed structure of NaIn6Ag6. The functional is GGA-PBE.

a = 7.5712 Å, b = 7.5712 Å, c = 7.5712 Å
α = 134.76°, β = 99.23°, γ = 97.79°
Sites, in units of the cell vectors:
Na1 0.0000 0.0000 0.0000
In1 0.1826 0.6826 0.5000
In2 0.3440 0.3440 0.0000
In3 0.3480 0.0000 0.3480
In4 0.6520 0.0000 0.6520
In5 0.6560 0.6560 0.0000
In6 0.8174 0.3174 0.5000
Ag1 0.0000 0.0000 0.5000
Ag2 0.0000 0.5000 0.0000
Ag3 0.2355 0.5000 0.7355
Ag4 0.5000 0.0000 0.0000
Ag5 0.5000 0.5000 0.5000
Ag6 0.7645 0.5000 0.2645

Results
Electronic total energy in eV for the cell shown: -35.8
Crystal system: orthorhombic
ΔH_f (0 K) in meV/atom: -75
SG: Immm (71)